Entry 1:
A geometry-optimized NaNbAlRu2 structure, computed with GGA-PBE.

## Properties
As for the formation energy from the elements: 5.90 eV/f.u.

a b c (Å): 4.5358 4.5358 4.7977
angles (deg): 90.00 90.00 90.00
Space group P4/mmm (No. 123)
Symmetry-distinct sites (fractional):
Na 0.0000 0.0000 0.0000 (multiplicity 1)
Nb 0.5000 0.5000 0.0000 (multiplicity 1)
Al 0.5000 0.5000 0.5000 (multiplicity 1)
Ru 0.0000 0.5000 0.5000 (multiplicity 2)

Entry 2:
A geometry-optimized Na2NbAlTc structure, computed with GGA-PBE.

## Properties
As for the formation energy from the elements: 10.98 eV/f.u.

a b c (Å): 5.2784 5.2784 5.0595
angles (deg): 90.00 90.00 90.00
Space group P4/mmm (No. 123)
Symmetry-distinct sites (fractional):
Na 0.0000 0.5000 0.0000 (multiplicity 2)
Nb 0.0000 0.0000 0.0000 (multiplicity 1)
Al 0.0000 0.0000 0.5000 (multiplicity 1)
Tc 0.5000 0.5000 0.5000 (multiplicity 1)

Entry 3:
A geometry-optimized NaNb2AlTl structure, computed with GGA-PBE.

## Properties
As for the formation energy from the elements: 9.07 eV/f.u.

a b c (Å): 4.7841 4.7841 4.9326
angles (deg): 90.00 90.00 90.00
Space group P4/mmm (No. 123)
Symmetry-distinct sites (fractional):
Na 0.0000 0.0000 0.0000 (multiplicity 1)
Nb 0.0000 0.5000 0.0000 (multiplicity 2)
Al 0.5000 0.5000 0.5000 (multiplicity 1)
Tl 0.0000 0.0000 0.5000 (multiplicity 1)

Entry 4:
A geometry-optimized Na2NdAlO4 structure, computed with GGA-PBE.

## Properties
As for the formation energy from raw total energies: -2.355 eV per atom.

a b c (Å): 5.6682 3.3094 5.8617
angles (deg): 90.00 109.79 90.00
Space group P2/m (No. 10)
Symmetry-distinct sites (fractional):
Na 0.0000 0.0000 0.0000 (multiplicity 1)
Na 0.5000 0.5000 0.0000 (multiplicity 1)
Nd 0.0000 0.5000 0.5000 (multiplicity 1)
Al 0.5000 0.0000 0.5000 (multiplicity 1)
O 0.2893 0.0000 0.6978 (multiplicity 2)
O 0.2896 0.5000 0.2939 (multiplicity 2)

Entry 5:
A geometry-optimized NaPrNdAl structure, computed with GGA-PBE.

## Properties
As for the formation energy from the elements: -0.24 eV/f.u.

a b c (Å): 7.7152 7.7152 7.7152
angles (deg): 90.00 90.00 90.00
Space group F-43m (No. 216)
Symmetry-distinct sites (fractional):
Na 0.0000 0.0000 0.0000 (multiplicity 4)
Pr 0.2500 0.2500 0.7500 (multiplicity 4)
Nd 0.2500 0.2500 0.2500 (multiplicity 4)
Al 0.0000 0.0000 0.5000 (multiplicity 4)

Entry 6:
A geometry-optimized Na2NdAlSe4 structure, computed with GGA-PBE.

## Properties
As for the formation energy from raw total energies: -1.256 eV per atom.

a b c (Å): 7.9305 8.5362 11.7094
angles (deg): 90.00 90.00 90.00
Space group Imma (No. 74)
Symmetry-distinct sites (fractional):
Na 0.0000 0.0000 0.0000 (multiplicity 4)
Na 0.2500 0.2500 0.2500 (multiplicity 4)
Nd 0.0000 0.0000 0.5000 (multiplicity 4)
Al 0.2500 0.2500 0.7500 (multiplicity 4)
Se 0.0000 0.0427 0.7520 (multiplicity 8)
Se 0.2481 0.2500 0.9846 (multiplicity 8)

Entry 7:
A geometry-optimized NaNdSmAl structure, computed with GGA-PBE.

## Properties
As for the formation energy from the elements: -0.21 eV/f.u.

a b c (Å): 7.6495 7.6495 7.6495
angles (deg): 90.00 90.00 90.00
Space group F-43m (No. 216)
Symmetry-distinct sites (fractional):
Na 0.0000 0.0000 0.0000 (multiplicity 4)
Nd 0.2500 0.2500 0.2500 (multiplicity 4)
Sm 0.2500 0.2500 0.7500 (multiplicity 4)
Al 0.0000 0.0000 0.5000 (multiplicity 4)

Entry 8:
A geometry-optimized NaTbNdAl structure, computed with GGA-PBE.

## Properties
As for the formation energy from the elements: -0.19 eV/f.u.

a b c (Å): 7.5981 7.5981 7.5981
angles (deg): 90.00 90.00 90.00
Space group F-43m (No. 216)
Symmetry-distinct sites (fractional):
Na 0.0000 0.0000 0.0000 (multiplicity 4)
Tb 0.2500 0.2500 0.7500 (multiplicity 4)
Nd 0.2500 0.2500 0.2500 (multiplicity 4)
Al 0.0000 0.0000 0.5000 (multiplicity 4)

Entry 9:
A geometry-optimized NaNdAlTl structure, computed with GGA-PBE.

## Properties
As for the formation energy from the elements: -0.56 eV/f.u.

a b c (Å): 7.5119 7.5119 7.5119
angles (deg): 90.00 90.00 90.00
Space group F-43m (No. 216)
Symmetry-distinct sites (fractional):
Na 0.0000 0.0000 0.0000 (multiplicity 4)
Nd 0.0000 0.0000 0.5000 (multiplicity 4)
Al 0.2500 0.2500 0.7500 (multiplicity 4)
Tl 0.2500 0.2500 0.2500 (multiplicity 4)

Entry 10:
A geometry-optimized NaNdTmAl structure, computed with GGA-PBE.

## Properties
As for the formation energy from the elements: -0.14 eV/f.u.

a b c (Å): 7.5435 7.5435 7.5435
angles (deg): 90.00 90.00 90.00
Space group F-43m (No. 216)
Symmetry-distinct sites (fractional):
Na 0.0000 0.0000 0.0000 (multiplicity 4)
Nd 0.2500 0.2500 0.2500 (multiplicity 4)
Tm 0.2500 0.2500 0.7500 (multiplicity 4)
Al 0.0000 0.0000 0.5000 (multiplicity 4)

Entry 11:
A geometry-optimized NaNdYAl structure, computed with GGA-PBE.

## Properties
As for the formation energy from the elements: -0.25 eV/f.u.

a b c (Å): 7.5968 7.5968 7.5968
angles (deg): 90.00 90.00 90.00
Space group F-43m (No. 216)
Symmetry-distinct sites (fractional):
Na 0.0000 0.0000 0.0000 (multiplicity 4)
Nd 0.2500 0.2500 0.2500 (multiplicity 4)
Y 0.2500 0.2500 0.7500 (multiplicity 4)
Al 0.0000 0.0000 0.5000 (multiplicity 4)

Entry 12:
A geometry-optimized Na2AlNi2 structure, computed with GGA-PBE.

## Properties
The calculation puts the energy above the lowest structure with this stoichiometry at 0.389 eV per atom. As for the formation energy from the elements: 2.45 eV/f.u.

a b c (Å): 3.4823 3.4823 13.5866
angles (deg): 90.00 90.00 90.00
Space group I4/mmm (No. 139)
Symmetry-distinct sites (fractional):
Na 0.0000 0.5000 0.2500 (multiplicity 4)
Al 0.0000 0.0000 0.0000 (multiplicity 2)
Ni 0.0000 0.0000 0.4170 (multiplicity 4)